Nd2MgTe4 after structural relaxation. Source: the Alexandria database, functional PBE.

Values from the calculation:
Magnetization = 0.000 μB per atom
Uncorrected formation energy = -1.241 eV per atom

Geometry as CIF:
```
data_Nd2MgTe4
_symmetry_space_group_name_H-M 'P 1'
_symmetry_Int_Tables_number 1
_cell_length_a 8.336
_cell_length_b 8.336
_cell_length_c 7.837
_cell_angle_alpha 117.60
_cell_angle_beta 117.60
_cell_angle_gamma 30.85
loop_
_symmetry_equiv_pos_as_xyz
'x,y,z'
loop_
_atom_site_label
_atom_site_fract_x
_atom_site_fract_y
_atom_site_fract_z
Nd1 0.234 0.234 0.224
Nd2 0.766 0.766 0.776
Mg1 0.500 0.500 0.500
Te1 0.125 0.125 0.475
Te2 0.387 0.387 0.074
Te3 0.613 0.613 0.926
Te4 0.875 0.875 0.525
```

---

Nd2TmMgTe5 after structural relaxation. Source: the Alexandria database, functional PBE.

Values from the calculation:
Magnetization = 0.000 μB per atom
Uncorrected formation energy = -1.230 eV per atom

Geometry as CIF:
```
data_Nd2TmMgTe5
_symmetry_space_group_name_H-M 'P 1'
_symmetry_Int_Tables_number 1
_cell_length_a 9.772
_cell_length_b 9.772
_cell_length_c 13.540
_cell_angle_alpha 90.00
_cell_angle_beta 90.00
_cell_angle_gamma 154.40
loop_
_symmetry_equiv_pos_as_xyz
'x,y,z'
loop_
_atom_site_label
_atom_site_fract_x
_atom_site_fract_y
_atom_site_fract_z
Nd1 0.112 0.888 0.500
Nd2 0.133 0.867 0.122
Nd3 0.867 0.133 0.622
Nd4 0.888 0.112 0.000
Tm1 0.205 0.795 0.832
Tm2 0.795 0.205 0.332
Mg1 0.443 0.557 0.275
Mg2 0.557 0.443 0.775
Te1 0.052 0.948 0.895
Te2 0.282 0.718 0.488
Te3 0.310 0.690 0.170
Te4 0.363 0.637 0.817
Te5 0.496 0.504 0.597
Te6 0.504 0.496 0.097
Te7 0.637 0.363 0.317
Te8 0.690 0.310 0.670
Te9 0.718 0.282 0.988
Te10 0.948 0.052 0.395
```